DFT (PBE+U) results for a relaxed structure of K3Mn3MoO8.

extended XYZ file:
```
15
Lattice="-5.5481 1.7013 1.5053 3.0183 -4.2228 3.9587 2.1750 6.7938 0.3379" Properties=species:S:1:pos:R:3 pbc="T T T"
K 1.5091 -2.1114 1.9794
K -1.2649 -1.2607 2.7320
K 0.0000 0.0000 0.0000
O -3.4245 3.3673 1.3221
O 1.5302 3.0156 2.2317
O -0.7239 2.5392 0.5894
O 0.8476 0.4752 2.5871
O 0.3690 1.7331 5.2126
O -1.2025 3.7971 3.2149
O -1.8851 1.2567 3.5702
O 3.0696 0.9050 4.4798
Mn -0.1774 2.1361 2.9010
Mn 2.5966 1.2855 2.1483
Mn -1.6866 4.2475 0.9216
Mo 1.0875 3.3969 0.1690
```

Computed properties:
Size of the total moment = 0.933 μB per atom
VASP energy = -6.4534 eV/atom
SG = C2/m